Computed, not measured: a relaxed Pr3Sm2Er5 crystal at the PBE level of DFT.

Lattice parameters (Å, degrees): 9.7327 9.7327 9.3563 108.15 108.15 113.63
With the nearest neighbours (Å) after each atom.
Positions (direct):
Pr: 0.0243 0.2719 0.0476  1 Sm 3.13, 5 Er 3.33-3.47
Pr: 0.2331 0.7669 0.7500  4 Sm 3.31-3.61, 3 Er 3.38-3.67, 2 Pr 3.56
Pr: 0.2719 0.0243 0.5476  1 Sm 3.13, 5 Er 3.33-3.47
Pr: 0.7281 0.9757 0.4524  1 Sm 3.13, 5 Er 3.33-3.47
Pr: 0.7669 0.2331 0.2500  4 Sm 3.31-3.61, 3 Er 3.38-3.67, 2 Pr 3.56
Pr: 0.9757 0.7281 0.9524  1 Sm 3.13, 5 Er 3.33-3.47
Sm: 0.2330 0.4708 0.4544  2 Pr 3.13-3.31, 4 Er 3.30-3.47
Sm: 0.4708 0.2330 0.9544  2 Pr 3.13-3.31, 4 Er 3.30-3.47
Sm: 0.5292 0.7670 0.0456  2 Pr 3.13-3.31, 4 Er 3.30-3.47
Sm: 0.7670 0.5292 0.5456  2 Pr 3.13-3.31, 4 Er 3.30-3.47
Er: 0.0258 0.9742 0.7500  5 Pr 3.34-3.47, 2 Sm 3.44, 2 Er 3.49
Er: 0.1406 0.3670 0.7599  3 Pr 3.46-3.67, 2 Sm 3.47-3.56, 3 Er 3.49-3.71
Er: 0.2725 0.7275 0.2500  1 Er 3.25, 4 Pr 3.33-3.52, 2 Sm 3.57
Er: 0.3670 0.1406 0.2599  3 Pr 3.46-3.67, 2 Sm 3.47-3.56, 3 Er 3.49-3.71
Er: 0.4721 0.5279 0.2500  3 Er 3.25-3.53, 4 Sm 3.30-3.43, 2 Pr 3.46
Er: 0.5279 0.4721 0.7500  3 Er 3.25-3.53, 4 Sm 3.30-3.43, 2 Pr 3.46
Er: 0.6330 0.8594 0.7401  3 Pr 3.46-3.67, 2 Sm 3.47-3.56, 3 Er 3.49-3.71
Er: 0.7275 0.2725 0.7500  1 Er 3.25, 4 Pr 3.33-3.52, 2 Sm 3.57
Er: 0.8594 0.6330 0.2401  3 Pr 3.46-3.67, 2 Sm 3.47-3.56, 3 Er 3.49-3.71
Er: 0.9742 0.0258 0.2500  5 Pr 3.34-3.47, 2 Sm 3.44, 2 Er 3.49

Magnetic moment ... 0.00 μB/f.u.
Formation enthalpy at 0 K ... 183 meV/atom
Energy ... -89.532 eV for the cell shown


Computed, not measured: a relaxed TbThAg2 crystal at the PBE level of DFT.

Lattice parameters (Å, degrees): 3.6025 3.6025 7.7608 90.00 90.00 90.00
With the nearest neighbours (Å) after each atom.
Positions (direct):
Tb: 0.0000 0.0000 0.0000  8 Ag 3.11
Th: 0.0000 0.0000 0.5000  8 Ag 3.29, 4 Th 3.60
Ag: 0.5000 0.5000 0.2309  4 Tb 3.11, 4 Th 3.29
Ag: 0.5000 0.5000 0.7691  4 Tb 3.11, 4 Th 3.29

Magnetic moment ... 0.01 μB/f.u.
Formation enthalpy at 0 K ... -169 meV/atom
Energy ... -18.427 eV for the cell shown
Energy above the lowest structure with this stoichiometry ... 0.0 meV per atom


Question: Among the records above, which one has the lowest magnetic moment?
Answer: Pr3Sm2Er5


Question: Which value of formation enthalpy at 0 K does entry 2 give?
Answer: -169 meV/atom


Question: Which value of formation enthalpy at 0 K does entry 1 give?
Answer: 183 meV/atom